VASP calculation (PBE) on crystalline LiInTe2 at its relaxed geometry.

Unit cell a=3.2787 b=3.2787 c=10.4266 alpha=90.00 beta=90.00 gamma=97.44
Closest atoms and distances in Å follow each position.
Fractional positions:
Te  0.0000  0.0000  0.9307  4 Li 2.81-3.05
Te  0.5000  0.5000  0.2862  4 Te 3.28, 4 In 3.30-3.50
In  0.0000  0.0000  0.5250  4 Li 3.25-3.46, 4 In 3.28, 4 Te 3.30-3.50
Li  0.5000  0.5000  0.7580  4 Te 2.81-3.05

Calculated values
Total energy in eV per atom: -2.9253
Raw formation energy in meV per atom: -191